Here is a geometry-optimized Ca2MnFeO5 structure from the Alexandria database. Energies are from PBE+U.

Lattice parameters (Å, degrees): 5.470 5.645 15.078 90.00 90.00 90.00
Each line ends with the local moment (μB).
Element x y z (fractional)
Ca: 0.030 0.523 0.110  0.01
Ca: 0.470 0.023 0.890  0.01
Ca: 0.970 0.477 0.610  0.01
Ca: 0.030 0.523 0.390  0.01
Ca: 0.970 0.477 0.890  0.01
Ca: 0.470 0.023 0.610  0.01
Ca: 0.530 0.977 0.390  0.01
Ca: 0.530 0.977 0.110  0.01
Mn: 0.500 0.500 0.000  3.96
Mn: 0.500 0.500 0.500  3.96
Mn: 0.000 0.000 0.000  3.96
Mn: 0.000 0.000 0.500  3.96
O: 0.538 0.421 0.643  0.16
O: 0.097 0.622 0.750  0.22
O: 0.038 0.079 0.643  0.16
O: 0.771 0.284 0.018  -0.03
O: 0.229 0.716 0.518  -0.03
O: 0.903 0.378 0.250  0.22
O: 0.038 0.079 0.857  0.16
O: 0.229 0.716 0.982  -0.03
O: 0.597 0.878 0.750  0.22
O: 0.462 0.579 0.357  0.16
O: 0.729 0.784 0.982  -0.03
O: 0.962 0.921 0.143  0.16
O: 0.538 0.421 0.857  0.16
O: 0.403 0.122 0.250  0.22
O: 0.771 0.284 0.482  -0.03
O: 0.462 0.579 0.143  0.16
O: 0.271 0.216 0.018  -0.03
O: 0.962 0.921 0.357  0.16
O: 0.271 0.216 0.482  -0.03
O: 0.729 0.784 0.518  -0.03
Fe: 0.550 0.437 0.250  4.26
Fe: 0.050 0.063 0.250  4.26
Fe: 0.450 0.563 0.750  4.26
Fe: 0.950 0.937 0.750  4.26

Calculated values
- V: 465.5 Å³ per cell
- Magnetization: 36.000 μB per cell
- Theoretical density: 3.9 Mg/m³
- Electronic total energy: -6.85 eV per atom
- SG: Pnma
- DOS at the Fermi energy: 0.03 states/eV per atom